The following is a DFT calculation (PBE) of a relaxed structure of Pr3Er3Tm2.

Summary:
Distance to the lowest polymorph of the same formula   57 meV per atom
Formation energy   0.085 eV per atom
Total moment   0.000 μB per atom

Unit cell a=16.413 b=5.691 c=5.995 alpha=90.00 beta=110.05 gamma=90.00
Space group C2/m (No. 12)
Inequivalent atoms, fractional coordinates:
Pr1 0.000 0.000 0.000 x2
Pr2 0.136 0.000 0.699 x4
Er1 0.000 0.500 0.500 x2
Er2 0.134 0.500 0.083 x4
Tm1 0.250 0.000 0.319 x4